A PBEsol-optimized structure of CdSbAu2, computed with SCAN.

Values from the calculation:
Offset from the most stable computed form = 70 meV per atom
Electronic total energy = -51.58 eV per atom
Formation energy from raw total energies = -0.079 eV/atom

Lattice parameters (Å, degrees): 8.351 3.371 6.032 90.00 102.82 90.00
Space group C2/m (No. 12)
Inequivalent atoms, fractional coordinates:
Cd (0.000, 0.000, 0.000) x2
Sb (0.000, 0.500, 0.500) x2
Au (0.248, 0.500, 0.239) x4



A PBEsol-optimized structure of CdSb2Au, computed with SCAN.

Values from the calculation:
Electronic total energy = -43.63 eV per atom
Formation energy from raw total energies = -0.108 eV/atom

Lattice parameters (Å, degrees): 5.905 8.192 4.113 90.00 90.00 90.00
Space group Cmmm (No. 65)
Inequivalent atoms, fractional coordinates:
Cd (0.000, 0.000, 0.000) x2
Sb (0.000, 0.281, 0.500) x4
Au (0.000, 0.500, 0.000) x2



A PBEsol-optimized structure of CdSb2Au, computed with SCAN.

Values from the calculation:
Electronic total energy = -43.42 eV per atom
Formation energy from raw total energies = 0.107 eV/atom

Lattice parameters (Å, degrees): 3.987 5.300 8.835 90.00 90.00 90.00
Space group Immm (No. 71)
Inequivalent atoms, fractional coordinates:
Cd (0.000, 0.000, 0.000) x2
Sb (0.000, 0.500, 0.224) x4
Au (0.000, 0.000, 0.500) x2



A PBEsol-optimized structure of CdSb2Au, computed with SCAN.

Values from the calculation:
Electronic total energy = -43.49 eV per atom
Formation energy from raw total energies = 0.034 eV/atom

Lattice parameters (Å, degrees): 5.079 5.079 16.778 90.00 90.00 90.00
Space group I-42d (No. 122)
Inequivalent atoms, fractional coordinates:
Cd (0.000, 0.000, 0.000) x4
Sb (0.221, 0.250, 0.625) x8
Au (0.000, 0.000, 0.500) x4



A PBEsol-optimized structure of CdSbAu2, computed with SCAN.

Values from the calculation:
Offset from the most stable computed form = 206 meV per atom
Electronic total energy = -51.44 eV per atom
Formation energy from raw total energies = 0.057 eV/atom

Lattice parameters (Å, degrees): 3.258 3.258 7.681 90.00 90.00 90.00
Space group P4mm (No. 99)
Inequivalent atoms, fractional coordinates:
Cd (0.000, 0.000, 0.000) x1
Sb (0.500, 0.500, 0.318) x1
Au (0.000, 0.000, 0.560) x1
Au (0.500, 0.500, 0.783) x1



A PBEsol-optimized structure of CdSb3Au, computed with SCAN.

Values from the calculation:
Electronic total energy = -41.23 eV per atom
Formation energy from raw total energies = 1.040 eV/atom

Lattice parameters (Å, degrees): 5.350 5.350 5.350 90.00 90.00 90.00
Space group Pm-3m (No. 221)
Inequivalent atoms, fractional coordinates:
Cd (0.000, 0.000, 0.000) x1
Sb (0.000, 0.000, 0.500) x3
Au (0.500, 0.500, 0.500) x1



A PBEsol-optimized structure of CdSb2Au, computed with SCAN.

Values from the calculation:
Electronic total energy = -43.37 eV per atom
Formation energy from raw total energies = 0.150 eV/atom

Lattice parameters (Å, degrees): 4.080 4.242 5.314 90.00 90.00 90.00
Space group Pmmm (No. 47)
Inequivalent atoms, fractional coordinates:
Cd (0.000, 0.000, 0.000) x1
Sb (0.000, 0.500, 0.500) x1
Sb (0.500, 0.500, 0.000) x1
Au (0.500, 0.000, 0.500) x1



A PBEsol-optimized structure of CdSbAu2, computed with SCAN.

Values from the calculation:
Offset from the most stable computed form = 145 meV per atom
Electronic total energy = -51.50 eV per atom
Formation energy from raw total energies = -0.004 eV/atom

Lattice parameters (Å, degrees): 4.479 4.479 3.952 90.00 90.00 90.00
Space group P4/mmm (No. 123)
Inequivalent atoms, fractional coordinates:
Cd (0.000, 0.000, 0.000) x1
Sb (0.500, 0.500, 0.000) x1
Au (0.000, 0.500, 0.500) x2



A PBEsol-optimized structure of Cd2SbAu2, computed with SCAN.

Values from the calculation:
Electronic total energy = -47.41 eV per atom
Formation energy from raw total energies = -0.133 eV/atom

Lattice parameters (Å, degrees): 8.067 8.067 3.117 90.00 90.00 90.00
Space group P4/mbm (No. 127)
Inequivalent atoms, fractional coordinates:
Cd (0.131, 0.369, 0.000) x4
Sb (0.000, 0.000, 0.500) x2
Au (0.167, 0.667, 0.500) x4



A PBEsol-optimized structure of CdSbAu, computed with SCAN.

Values from the calculation:
Electronic total energy = -45.68 eV per atom
Formation energy from raw total energies = -0.065 eV/atom

Lattice parameters (Å, degrees): 4.2861 4.2861 4.3748 90.00 90.00 120.00
Space group P3m1 (No. 156)
Inequivalent atoms, fractional coordinates:
Cd (0.0000, 0.0000, 0.0000) x1
Sb (0.3333, 0.6667, 0.5793) x1
Au (0.6667, 0.3333, 0.3050) x1



A PBEsol-optimized structure of CdSb2Au, computed with SCAN.

Values from the calculation:
Electronic total energy = -43.36 eV per atom
Formation energy from raw total energies = 0.168 eV/atom

Lattice parameters (Å, degrees): 3.856 3.856 6.143 90.00 90.00 90.00
Space group P4/mmm (No. 123)
Inequivalent atoms, fractional coordinates:
Cd (0.000, 0.000, 0.000) x1
Sb (0.500, 0.500, 0.265) x2
Au (0.000, 0.000, 0.500) x1



A PBEsol-optimized structure of ScCd2Au, computed with SCAN.

Values from the calculation:
Electronic total energy = -36.47 eV per atom

Lattice parameters (Å, degrees): 3.411 4.780 9.646 90.00 90.00 90.00
Space group Immm (No. 71)
Inequivalent atoms, fractional coordinates:
Sc (0.000, 0.000, 0.000) x2
Cd (0.000, 0.500, 0.235) x4
Au (0.000, 0.000, 0.500) x2